Below is crystalline LaIrOs2 at its relaxed geometry, with properties calculated at the PBE level.

## Properties
crystal system: orthorhombic
volume: 18.49 Å³/atom
DFT formation energy: 0.339 eV/atom

Cell: 2.783 3.906 6.804 Å, 90.00 90.00 90.00°
Fractional coordinates of all 4 atoms:
Ir 0.500 0.500 0.250
La 0.500 0.500 0.750
Os 0.000 0.000 0.437
Os 0.000 0.000 0.063